Tb6CoAg, relaxed, DFT PBE; size of the total moment = 0.0 μB/f.u.; formation energy = 26 meV/atom; density = 7.578 g/cm3; energy = -37.53 eV/cell; space-group type = P-1 (2)
1.0
6.606 0.000 0.000
3.301 5.736 0.000
3.286 1.909 6.479
Tb Co Ag
6 1 1
Cartesian
2.600 2.877 1.739 Tb
7.083 6.826 4.741 Tb
6.128 4.903 1.737 Tb
7.064 2.741 4.742 Tb
6.109 0.819 1.738 Tb
10.592 4.767 4.740 Tb
1.643 0.954 3.240 Co
4.953 2.868 0.000 Ag